GGA-PBE K2NaTiF6, optimized geometry; uncorrected formation energy = -3069.4 meV per atom; volume = 15.4 Å³/atom; SG = P2_1/c; theoretical density = 2.84 g/cm3
1.0
-4.0557 -4.1724 1.4668
0.3950 -2.3273 -5.5279
6.2567 -5.1524 2.6163
F K Na Ti
12 4 2 2
direct
0.2387 0.2035 0.4803
0.5414 0.0029 0.2676
0.7613 0.7965 0.5197
0.7387 0.2965 0.9803
0.7017 0.2615 0.5228
0.4586 0.9971 0.7324
0.7983 0.7615 0.9772
0.0414 0.4971 0.7676
0.9586 0.5029 0.2324
0.2983 0.7385 0.4772
0.2613 0.7035 0.0197
0.2017 0.2385 0.0228
0.9974 0.0205 0.7497
0.4974 0.4795 0.2497
0.0026 0.9795 0.2503
0.5026 0.5205 0.7503
0.0000 0.5000 0.5000
0.5000 0.0000 0.0000
0.5000 0.0000 0.5000
0.0000 0.5000 0.0000